# 1
Ho2CuAg3 | PBE-GGA | optimized geometry

Computed properties:
Calculated density in g cm⁻³: 9.3
Symmetry: No. 25
Density of states at the Fermi level in states/eV/cell: 3.93
DFT total energy in eV per atom: -3.87

Cell: 3.442 4.631 8.019 Å, 90.00 90.00 90.00°
Sites, in units of the cell vectors:
Ho 0.000 0.000 0.000
Ho 0.000 0.500 0.477
Cu 0.500 0.000 0.315
Ag 0.500 0.000 0.641
Ag 0.500 0.500 0.163
Ag 0.500 0.500 0.821

=====

# 2
HoCuAg4 | PBE-GGA | optimized geometry

Computed properties:
Calculated density in g cm⁻³: 9.4
Symmetry: No. 216
Density of states at the Fermi level in states/eV/cell: 8.19
DFT total energy in eV per atom: -3.34

Cell: 5.492 5.492 5.492 Å, 60.00 60.00 60.00°
Sites, in units of the cell vectors:
Ho 0.000 0.000 0.000
Cu 0.250 0.250 0.250
Ag 0.126 0.625 0.625
Ag 0.625 0.126 0.625
Ag 0.625 0.625 0.126
Ag 0.625 0.625 0.625

=====

# 3
Ho4CuAg | PBE-GGA | optimized geometry

Computed properties:
Calculated density in g cm⁻³: 9.0
Symmetry: No. 123
Density of states at the Fermi level in states/eV/cell: 7.89
DFT total energy in eV per atom: -4.36

Cell: 3.509 3.509 12.394 Å, 90.00 90.00 90.00°
Sites, in units of the cell vectors:
Ho 0.000 0.000 0.137
Ho 0.000 0.000 0.863
Ho 0.500 0.500 0.346
Ho 0.500 0.500 0.654
Cu 0.500 0.500 0.000
Ag 0.000 0.000 0.500

=====

# 4
Ho3Cu4Ag2 | PBE-GGA | optimized geometry

Computed properties:
Calculated density in g cm⁻³: 9.1
Symmetry: No. 12
Density of states at the Fermi level in states/eV/cell: 4.69
DFT total energy in eV per atom: -4.22

Cell: 5.651 5.651 8.349 Å, 112.06 112.06 46.05°
Sites, in units of the cell vectors:
Ho 0.000 0.000 0.000
Ho 0.349 0.349 0.317
Ho 0.651 0.651 0.683
Cu 0.068 0.068 0.409
Cu 0.267 0.267 0.946
Cu 0.733 0.733 0.054
Cu 0.932 0.932 0.591
Ag 0.362 0.362 0.702
Ag 0.638 0.638 0.298

=====

# 5
Ho4Cu3Ag | PBE-GGA | optimized geometry

Computed properties:
Calculated density in g cm⁻³: 9.0
Symmetry: No. 25
Density of states at the Fermi level in states/eV/cell: 6.43
DFT total energy in eV per atom: -4.44

Cell: 3.726 4.567 10.397 Å, 90.00 90.00 90.00°
Sites, in units of the cell vectors:
Ho 0.000 0.000 0.000
Ho 0.000 0.500 0.270
Ho 0.500 0.000 0.482
Ho 0.500 0.500 0.776
Cu 0.000 0.500 0.553
Cu 0.500 0.000 0.204
Cu 0.500 0.500 0.061
Ag 0.000 0.000 0.707

=====

# 6
Ho2Cu9Ag | PBE-GGA | optimized geometry

Computed properties:
Calculated density in g cm⁻³: 9.2
Symmetry: No. 166
Density of states at the Fermi level in states/eV/cell: 4.42
DFT total energy in eV per atom: -4.16

Cell: 8.669 8.669 8.669 Å, 34.12 34.12 34.12°
Sites, in units of the cell vectors:
Ho 0.135 0.135 0.135
Ho 0.865 0.865 0.865
Cu 0.079 0.583 0.583
Cu 0.333 0.333 0.333
Cu 0.417 0.417 0.921
Cu 0.417 0.921 0.417
Cu 0.500 0.500 0.500
Cu 0.583 0.079 0.583
Cu 0.583 0.583 0.079
Cu 0.667 0.667 0.667
Cu 0.921 0.417 0.417
Ag 0.000 0.000 0.000

=====

# 7
Ho2Cu5Ag5 | PBE-GGA | optimized geometry

Computed properties:
Calculated density in g cm⁻³: 9.3
Symmetry: No. 8
Density of states at the Fermi level in states/eV/cell: 6.98
DFT total energy in eV per atom: -3.72

Cell: 5.186 5.186 9.780 Å, 111.88 111.88 64.05°
Sites, in units of the cell vectors:
Ho 0.000 0.000 0.000
Ho 0.106 0.106 0.518
Cu 0.280 0.280 0.873
Cu 0.414 0.414 0.456
Cu 0.541 0.541 0.126
Cu 0.652 0.652 0.941
Cu 0.693 0.693 0.702
Ag 0.087 0.592 0.205
Ag 0.194 0.698 0.705
Ag 0.592 0.087 0.205
Ag 0.698 0.194 0.705
Ag 0.715 0.715 0.419

=====

# 8
HoInCuAg | PBE-GGA | optimized geometry

Computed properties:
Calculated density in g cm⁻³: 9.4
Symmetry: No. 216
Density of states at the Fermi level in states/eV/cell: 2.41
DFT total energy in eV per atom: -3.89

Cell: 4.826 4.826 4.826 Å, 60.00 60.00 60.00°
Sites, in units of the cell vectors:
Ho 0.000 0.000 0.000
In 0.500 0.500 0.500
Cu 0.250 0.250 0.250
Ag 0.750 0.750 0.750

=====

# 9
LaHoCuAg | PBE-GGA | optimized geometry

Computed properties:
Calculated density in g cm⁻³: 8.2
Symmetry: No. 99
Density of states at the Fermi level in states/eV/cell: 2.50
DFT total energy in eV per atom: -4.36

Cell: 3.594 3.594 7.444 Å, 90.00 90.00 90.00°
Sites, in units of the cell vectors:
La 0.000 0.000 0.000
Ho 0.000 0.000 0.528
Cu 0.500 0.500 0.735
Ag 0.500 0.500 0.292

=====

# 10
LaHoCuAg | PBE-GGA | optimized geometry

Computed properties:
Calculated density in g cm⁻³: 8.1
Symmetry: No. 216
Density of states at the Fermi level in states/eV/cell: 4.28
DFT total energy in eV per atom: -4.31

Cell: 5.175 5.175 5.175 Å, 60.00 60.00 60.00°
Sites, in units of the cell vectors:
La 0.000 0.000 0.000
Ho 0.500 0.500 0.500
Cu 0.750 0.750 0.750
Ag 0.250 0.250 0.250

=====

# 11
LiHoCuAg | PBE-GGA | optimized geometry

Computed properties:
Calculated density in g cm⁻³: 7.4
Symmetry: No. 216
Density of states at the Fermi level in states/eV/cell: 2.29
DFT total energy in eV per atom: -3.50

Cell: 4.778 4.778 4.778 Å, 60.00 60.00 60.00°
Sites, in units of the cell vectors:
Li 0.000 0.000 0.000
Ho 0.500 0.500 0.500
Cu 0.750 0.750 0.750
Ag 0.250 0.250 0.250

=====

# 12
HoLuCuAg | PBE-GGA | optimized geometry

Computed properties:
Calculated density in g cm⁻³: 9.8
Symmetry: No. 216
Density of states at the Fermi level in states/eV/cell: 2.45
DFT total energy in eV per atom: -4.30

Cell: 4.974 4.974 4.974 Å, 60.00 60.00 60.00°
Sites, in units of the cell vectors:
Ho 0.000 0.000 0.000
Lu 0.500 0.500 0.500
Cu 0.250 0.250 0.250
Ag 0.750 0.750 0.750